<1>
DFT (PBE-GGA) results for an optimized crystal structure of TmAgPdRh.

Structure (POSCAR):
```
TmAgPdRh
1.0
3.8582 0.0000 0.0000
0.0000 4.1806 0.0000
0.0000 0.0000 4.3259
Tm Ag Pd Rh
1 1 1 1
direct
0.0000 0.0000 0.0000 Tm
0.0000 0.5000 0.5000 Ag
0.5000 0.0000 0.5000 Pd
0.5000 0.5000 0.0000 Rh
```

Output
Space-group type: Pmmm (47)
Fermi-level density of states, states/eV per cell: 3.06

---

<2>
DFT (PBE-GGA) results for an optimized crystal structure of TmAgPdRh.

Structure (POSCAR):
```
TmAgPdRh
1.0
0.0000 3.2887 3.2887
3.2887 0.0000 3.2887
3.2887 3.2887 0.0000
Tm Ag Pd Rh
1 1 1 1
direct
0.0000 0.0000 0.0000 Tm
0.5000 0.5000 0.5000 Ag
0.2500 0.2500 0.2500 Pd
0.7500 0.7500 0.7500 Rh
```

Output
Space-group type: F-43m (216)
Fermi-level density of states, states/eV per cell: 0.98

---

What should be chosen as the least stable of them? Choose <2>.

---

<1>
DFT (PBE-GGA) results for an optimized crystal structure of AgPdRu2.

Structure (POSCAR):
```
AgPdRu2
1.0
0.0000 3.1262 3.1262
3.1262 0.0000 3.1262
3.1262 3.1262 0.0000
Ag Pd Ru
1 1 2
direct
0.0000 0.0000 0.0000 Ag
0.5000 0.5000 0.5000 Pd
0.2500 0.2500 0.2500 Ru
0.7500 0.7500 0.7500 Ru
```

Output
Space-group type: Fm-3m (225)
Fermi-level density of states, states/eV per cell: 4.80

---

<2>
DFT (PBE-GGA) results for an optimized crystal structure of AgPdRu2.

Structure (POSCAR):
```
AgPdRu2
1.0
-3.6288 3.6288 2.5889
3.6288 -3.6288 2.5889
3.6288 3.6288 -2.5889
Ag Pd Ru
2 2 4
direct
0.0000 0.0000 0.0000 Ag
0.7500 0.2500 0.5000 Ag
0.2500 0.7500 0.5000 Pd
0.5000 0.5000 0.0000 Pd
0.1466 0.6250 0.0216 Ru
0.3750 0.3966 0.5216 Ru
0.6034 0.1250 0.9784 Ru
0.8750 0.8534 0.4784 Ru
```

Output
Space-group type: I-42d (122)
Fermi-level density of states, states/eV per cell: 10.43

---

What should be chosen as the least stable of them? Choose <2>.

---

<1>
DFT (PBE-GGA) results for an optimized crystal structure of AgPd3S.

Structure (POSCAR):
```
AgPd3S
1.0
4.4874 0.0000 0.0000
0.0000 4.4874 0.0000
0.0000 0.0000 4.4874
Ag Pd S
1 3 1
direct
0.0000 0.0000 0.0000 Ag
0.0000 0.5000 0.5000 Pd
0.5000 0.0000 0.5000 Pd
0.5000 0.5000 0.0000 Pd
0.5000 0.5000 0.5000 S
```

Output
Space-group type: Pm-3m (221)
Fermi-level density of states, states/eV per cell: 2.89

---

<2>
DFT (PBE-GGA) results for an optimized crystal structure of AgPd3S.

Structure (POSCAR):
```
AgPd3S
1.0
6.1787 0.0000 0.0000
-3.0893 5.3509 0.0000
0.0000 0.0000 5.1383
Ag Pd S
2 6 2
direct
0.3333 0.6667 0.2500 Ag
0.6667 0.3333 0.7500 Ag
0.1865 0.3730 0.7500 Pd
0.1865 0.8135 0.7500 Pd
0.3730 0.1865 0.2500 Pd
0.6270 0.8135 0.7500 Pd
0.8135 0.1865 0.2500 Pd
0.8135 0.6270 0.2500 Pd
0.0000 0.0000 0.0000 S
0.0000 0.0000 0.5000 S
```

Output
Space-group type: P6_3/mmc (194)
Fermi-level density of states, states/eV per cell: 7.68

---

What should be chosen as the least stable of them? Choose <2>.

---

<1>
DFT (PBE-GGA) results for an optimized crystal structure of AgPd3S.

Structure (POSCAR):
```
AgPd3S
1.0
4.8937 0.0000 0.0000
0.0000 4.8937 0.0000
0.0000 0.0000 4.8937
Ag Pd S
1 3 1
direct
0.0000 0.0000 0.0000 Ag
0.0000 0.0000 0.5000 Pd
0.0000 0.5000 0.0000 Pd
0.5000 0.0000 0.0000 Pd
0.5000 0.5000 0.5000 S
```

Output
Space-group type: Pm-3m (221)
Fermi-level density of states, states/eV per cell: 7.05

---

<2>
DFT (PBE-GGA) results for an optimized crystal structure of AgPd3S.

Structure (POSCAR):
```
AgPd3S
1.0
5.7715 0.0000 0.0000
0.0000 6.8496 0.0000
0.0000 0.0000 4.5183
Ag Pd S
2 6 2
direct
0.2500 0.2048 0.0000 Ag
0.7500 0.7952 0.0000 Ag
0.0000 0.0000 0.5116 Pd
0.0000 0.5000 0.3167 Pd
0.2500 0.7952 0.0101 Pd
0.5000 0.0000 0.5116 Pd
0.5000 0.5000 0.3167 Pd
0.7500 0.2048 0.0101 Pd
0.2500 0.7278 0.5167 S
0.7500 0.2722 0.5167 S
```

Output
Space-group type: Pma2 (28)
Fermi-level density of states, states/eV per cell: 4.44

---

What should be chosen as the least stable of them? Choose <1>.